1.
# ZnCoNiPd

A relaxed ZnCoNiPd crystal (PBE, OQMD via LeMat-Bulk).

The structure in extended XYZ format:
```
16
Lattice="5.8984 0.0000 0.0000 0.0000 5.8984 0.0000 0.0000 0.0000 5.8984" Properties=species:S:1:pos:R:3 pbc="T T T"
Zn 0.0000 0.0000 0.0000
Zn 0.0000 2.9492 2.9492
Zn 2.9492 0.0000 2.9492
Zn 2.9492 2.9492 0.0000
Co 0.0000 0.0000 2.9492
Co 0.0000 2.9492 0.0000
Co 2.9492 0.0000 0.0000
Co 2.9492 2.9492 2.9492
Ni 1.4746 1.4746 1.4746
Ni 1.4746 4.4238 4.4238
Ni 4.4238 1.4746 4.4238
Ni 4.4238 4.4238 1.4746
Pd 1.4746 1.4746 4.4238
Pd 1.4746 4.4238 1.4746
Pd 4.4238 1.4746 1.4746
Pd 4.4238 4.4238 4.4238
```

## Properties
total DFT energy (no corrections) = -77.1 eV per cell
calculated density = 9.37 g/cm³

---

2.
# TcSe2

A relaxed TcSe2 crystal (PBE, OQMD via LeMat-Bulk).

The structure in extended XYZ format:
```
12
Lattice="3.4254 0.0000 0.0000 -1.7127 2.9665 0.0000 0.0000 0.0000 25.5946" Properties=species:S:1:pos:R:3 pbc="T T T"
Tc 0.0000 0.0000 0.0000
Tc 0.0000 0.0000 6.4027
Tc 0.0000 0.0000 19.1919
Tc 1.7127 0.9888 12.7973
Se 0.0000 0.0000 11.2396
Se 0.0000 0.0000 14.3550
Se 0.0000 1.9777 4.8450
Se 0.0000 1.9777 7.9614
Se 0.0000 1.9777 17.6332
Se 0.0000 1.9777 20.7496
Se 1.7127 0.9888 1.5556
Se 1.7127 0.9888 24.0390
```

## Properties
total DFT energy (no corrections) = -73.1 eV per cell
calculated density = 6.54 g/cm³

---

3.
# RbZrP2Se7

A relaxed RbZrP2Se7 crystal (PBE, OQMD via LeMat-Bulk).

The structure in extended XYZ format:
```
11
Lattice="4.7395 -5.2218 0.0000 4.7395 5.2218 0.0000 -1.2500 0.0000 6.8683" Properties=species:S:1:pos:R:3 pbc="T T T"
Rb 0.0000 0.0000 0.0000
Zr 4.1145 0.9583 3.4341
P 2.3801 -2.7502 2.8284
P 5.8488 -2.7502 4.0399
Se 2.3890 2.7095 2.2261
Se 2.3763 1.3015 5.4821
Se 5.8399 2.7095 4.6422
Se 3.2441 -0.9648 1.7358
Se 5.8527 1.3015 1.3862
Se 4.9849 -0.9648 5.1325
Se 4.1145 -4.2170 3.4341
```

## Properties
total DFT energy (no corrections) = -51.1 eV per cell
calculated density = 3.87 g/cm³

---

Copy entry 2 word for word.
# TcSe2

A relaxed TcSe2 crystal (PBE, OQMD via LeMat-Bulk).

The structure in extended XYZ format:
```
12
Lattice="3.4254 0.0000 0.0000 -1.7127 2.9665 0.0000 0.0000 0.0000 25.5946" Properties=species:S:1:pos:R:3 pbc="T T T"
Tc 0.0000 0.0000 0.0000
Tc 0.0000 0.0000 6.4027
Tc 0.0000 0.0000 19.1919
Tc 1.7127 0.9888 12.7973
Se 0.0000 0.0000 11.2396
Se 0.0000 0.0000 14.3550
Se 0.0000 1.9777 4.8450
Se 0.0000 1.9777 7.9614
Se 0.0000 1.9777 17.6332
Se 0.0000 1.9777 20.7496
Se 1.7127 0.9888 1.5556
Se 1.7127 0.9888 24.0390
```

## Properties
total DFT energy (no corrections) = -73.1 eV per cell
calculated density = 6.54 g/cm³

---

Look up the total DFT energy (no corrections) of the third one.
-51.1 eV per cell

---

Among the records above, which one has the highest total DFT energy (no corrections)?
RbZrP2Se7